VASP calculation (PBE) on crystalline TcP2CS at its relaxed geometry.

Lattice parameters (Å, degrees): 3.8636 3.8636 4.2354 90.00 90.00 90.00
Last column: nearest neighbours and their distance in Å.
Element x y z (fractional)
P 0.0000 0.5000 0.0000  2 C 1.93
S 0.0000 0.0000 0.5000  2 C 2.12
Tc 0.5000 0.5000 0.5000  4 S 2.73, 8 P 2.87
C 0.0000 0.0000 0.0000  4 P 1.93, 2 S 2.12
P 0.5000 0.0000 0.0000  2 C 1.93

Values from the calculation:
DFT total energy: -0.42553 Ry per atom
uncorrected formation energy: 1.118 eV per atom
calculated volume: 12.64 Å³ per atom
crystal system: tetragonal
DOS(E_F): 3.12 states/eV/cell